Compound: PmZnGaPd2
Source: the Alexandria database
Functional: PBE-GGA
Structure: optimized geometry

Values from the calculation:
**DOS(E_F)**: 0.517 states/eV/atom
**Energy of formation**: -0.544 eV/atom
**Symmetry**: Cmme

a b c (Å): 5.660 5.331 7.084
angles (deg): 112.10 90.00 90.00
Fractional positions:
1 Pd 0.706 0.855 0.711
2 Pd 0.294 0.355 0.711
3 Pd 0.706 0.645 0.289
4 Pd 0.294 0.145 0.289
5 Ga 0.500 0.250 0.000
6 Ga 0.500 0.750 0.000
7 Pm 0.771 0.250 0.500
8 Pm 0.229 0.750 0.500
9 Zn 0.000 0.000 0.000
10 Zn 0.000 0.500 0.000